In2FeF2 PBE+U optimized geometry; SG = No. 127; magnetization = 7.59 μB per cell; energy above the lowest structure with this stoichiometry = 0.142 eV/atom; final energy = -38.14 eV for the cell shown
1.0
7.527 0.000 0.000
0.000 7.527 0.000
0.000 0.000 3.275
Fe In F
2 4 4
Cartesian
3.764 3.764 0.000
0.000 0.000 0.000
5.273 6.018 1.637
1.510 5.273 1.637
2.254 1.510 1.637
6.018 2.254 1.637
2.752 6.516 0.000
6.516 4.775 0.000
4.775 1.011 0.000
1.011 2.752 0.000